A PBEsol-optimized structure of Sc2Tl3, computed with meta-GGA SCAN.

POSCAR file:
```
Sc2Tl3
1.0
4.8832 0.0000 0.0000
-2.4416 4.2289 0.0000
0.0000 0.0000 6.0901
Sc Tl
2 3
direct
0.3333 0.6667 0.3426
0.6667 0.3333 0.6574
0.0000 0.0000 0.5000
0.3333 0.6667 0.8596
0.6667 0.3333 0.1404
```

Formation enthalpy at 0 K   -1.54 eV/f.u.
SG   P-3m1 (164)